Density functional theory data (GGA-PBE) for SbOs2Rh after structural relaxation.

The structure in extended XYZ format:
```
4
Lattice="4.5284 -1.4649 0.0000 4.5284 1.4649 0.0000 -0.8700 0.0000 4.7770" Properties=species:S:1:pos:R:3 pbc="T T T"
Sb 0.0000 0.0000 0.0000
Os 1.6282 0.0000 3.3120
Os 4.1227 0.0000 2.4007
Rh 6.6086 0.0000 1.0779
```

Calculated values
Mass density = 15.85 g/cm3
Energy relative to the elements, uncorrected = 0.334 eV/atom
Total DFT energy (no corrections) = -32.60 eV per cell
SG = Cm (8)